(1)
Compound: Pr3HgRu
Source: Alexandria
Functional: GGA-PBE
Structure: optimized geometry

```
Pr3HgRu
1.0
5.882 -0.120 0.528
-3.104 5.949 -0.506
0.832 -2.669 8.344
Ru Pr Hg
2 6 2
direct
0.000 0.248 0.996
0.000 0.752 0.004
0.500 0.196 0.892
0.872 0.582 0.278
0.128 0.196 0.278
0.500 0.804 0.108
0.872 0.804 0.722
0.128 0.418 0.722
0.436 0.765 0.500
0.564 0.235 0.500
```

Results
Formation energy from the elements   -0.2957 eV per atom
Raw total energy   -25.39 eV per formula unit
ρ   8508 kg/m3
Symmetry   No. 2
Size of the total moment   0.00 μB/atom

(2)
Compound: Pr2HgRu
Source: Alexandria
Functional: GGA-PBE
Structure: optimized geometry

```
Pr2HgRu
1.0
4.089 0.000 0.000
2.045 3.542 0.000
2.045 1.181 8.054
Pr Ru Hg
2 1 1
direct
0.268 0.268 0.197
0.732 0.732 0.803
0.000 0.000 0.000
0.500 0.500 0.500
```

Results
Formation energy from the elements   -0.2043 eV per atom
Raw total energy   -19.95 eV per formula unit
ρ   8307 kg/m3
Symmetry   No. 166
Size of the total moment   0.00 μB/atom